Record 1
Computed, not measured: crystalline Cs2Sb2I at its relaxed geometry at the GGA-PBE level of DFT.

The structure in POSCAR format:
```
Cs2Sb2I
1.0
10.085 0.000 0.000
0.000 10.085 0.000
0.000 0.000 5.118
Cs I Sb
4 2 4
direct
0.201 0.701 0.500
0.701 0.799 0.500
0.799 0.299 0.500
0.299 0.201 0.500
0.000 0.000 0.000
0.500 0.500 0.000
0.409 0.909 0.000
0.909 0.591 0.000
0.591 0.091 0.000
0.091 0.409 0.000
```

- DFT total energy (eV/atom) = -2.829
- excess energy over the best structure of this formula in the dataset (meV per atom) = 202


Record 2
Computed, not measured: crystalline CsSbI3 at its relaxed geometry at the GGA-PBE level of DFT.

The structure in POSCAR format:
```
CsSbI3
1.0
-5.446 0.761 -3.887
-3.246 -9.814 2.627
-6.737 5.599 12.588
Cs Sb I
4 4 12
direct
0.975 0.626 0.304
0.525 0.126 0.196
0.025 0.374 0.696
0.475 0.874 0.804
0.338 0.562 0.052
0.162 0.062 0.448
0.662 0.438 0.948
0.838 0.938 0.552
0.077 0.715 0.560
0.423 0.215 0.940
0.923 0.285 0.440
0.577 0.785 0.060
0.970 0.021 0.741
0.530 0.521 0.759
0.030 0.979 0.259
0.470 0.479 0.241
0.559 0.862 0.399
0.941 0.362 0.101
0.441 0.138 0.601
0.059 0.638 0.899
```

- DFT total energy (eV/atom) = -2.689
- excess energy over the best structure of this formula in the dataset (meV per atom) = 0


Record 3
Computed, not measured: crystalline Cs5Sb2I2 at its relaxed geometry at the GGA-PBE level of DFT.

The structure in POSCAR format:
```
Cs5Sb2I2
1.0
-2.367 6.577 -7.032
-9.045 -4.067 -0.758
-4.588 9.553 3.489
Cs Sb I
10 4 4
direct
0.000 0.000 0.000
0.500 0.500 0.000
0.460 0.175 0.728
0.812 0.825 0.728
0.312 0.675 0.728
0.960 0.325 0.728
0.540 0.825 0.272
0.188 0.175 0.272
0.688 0.325 0.272
0.040 0.675 0.272
0.101 0.399 0.000
0.899 0.601 0.000
0.399 0.899 0.000
0.601 0.101 0.000
0.205 0.000 0.591
0.705 0.500 0.591
0.795 0.000 0.409
0.295 0.500 0.409
```

- DFT total energy (eV/atom) = -2.653


Record 4
Computed, not measured: crystalline Cs3SbI at its relaxed geometry at the GGA-PBE level of DFT.

The structure in POSCAR format:
```
Cs3SbI
1.0
7.298 0.000 0.000
0.000 7.298 0.000
0.000 0.000 7.298
Cs I Sb
3 1 1
direct
0.000 0.500 0.000
0.000 0.000 0.500
0.500 0.000 0.000
0.500 0.500 0.500
0.000 0.000 0.000
```

- DFT total energy (eV/atom) = -2.256
- excess energy over the best structure of this formula in the dataset (meV per atom) = 238


What did the fourth record say?
Computed, not measured: crystalline Cs3SbI at its relaxed geometry at the GGA-PBE level of DFT.

The structure in POSCAR format:
```
Cs3SbI
1.0
7.298 0.000 0.000
0.000 7.298 0.000
0.000 0.000 7.298
Cs I Sb
3 1 1
direct
0.000 0.500 0.000
0.000 0.000 0.500
0.500 0.000 0.000
0.500 0.500 0.500
0.000 0.000 0.000
```

- DFT total energy (eV/atom) = -2.256
- excess energy over the best structure of this formula in the dataset (meV per atom) = 238


Q: What is the formula in the fourth record?
A: Cs3SbI